Below is an optimized crystal structure of TbNdBiS, with properties calculated at the GGA-PBE level.

Lattice parameters (Å, degrees): 7.9624 7.9624 7.9624 30.26 30.26 30.26
Closest atoms and distances in Å follow each position.
Atoms (fractional coordinates):
Tb1 0.0000 0.0000 0.0000  3 S 2.92, 3 Bi 3.08
Nd1 0.8432 0.8432 0.8432  3 S 3.07, 3 Bi 3.18
Bi1 0.4183 0.4183 0.4183  3 Tb 3.08, 3 Nd 3.18
S1 0.5936 0.5936 0.5936  3 Tb 2.92, 3 Nd 3.07

Values from the calculation:
As for the density of states at the Fermi level: 0.470 states/eV per atom. As for the space group: No. 160. As for the uncorrected formation energy: -1.25 eV per atom. The total energy is -0.2059 hartree per atom. The value obtained for the total magnetization is 0.14 μB/atom. The volume comes out at 113.6 Å³/cell.



Below is an optimized crystal structure of Nd6Bi2Te3S, with properties calculated at the GGA-PBE level.

Lattice parameters (Å, degrees): 10.0660 10.0660 8.9903 103.18 103.18 25.49
Closest atoms and distances in Å follow each position.
Atoms (fractional coordinates):
Nd1 0.0022 0.0022 0.2859  2 S 2.95, 1 Bi 3.23, 1 Te 3.27
Nd2 0.3354 0.3354 0.9161  3 Te 3.14-3.17, 3 Bi 3.17-3.23
Nd3 0.3520 0.3520 0.4264  1 S 2.83
Nd4 0.6480 0.6480 0.5736  1 S 2.83
Nd5 0.6646 0.6646 0.0839  3 Te 3.14-3.17, 3 Bi 3.17-3.23
Nd6 0.9978 0.9978 0.7141  2 S 2.95, 1 Bi 3.23, 1 Te 3.27
Bi1 0.1662 0.1662 0.8331  6 Nd 3.17-3.23
Bi2 0.8338 0.8338 0.1669  6 Nd 3.17-3.23
Te1 0.1726 0.1726 0.3392  6 Nd 3.17-3.42
Te2 0.5000 0.5000 0.0000  6 Nd 3.14-3.39
Te3 0.8274 0.8274 0.6608  6 Nd 3.17-3.42
S1 0.5000 0.5000 0.5000  6 Nd 2.83-2.95

Values from the calculation:
As for the density of states at the Fermi level: 0.246 states/eV per atom. As for the space group: No. 12. As for the uncorrected formation energy: -1.36 eV per atom. The total energy is -0.2029 hartree per atom. The value obtained for the total magnetization is 0.00 μB/atom. The volume comes out at 381.1 Å³/cell.



Below is an optimized crystal structure of Nd6BiTe3S2, with properties calculated at the GGA-PBE level.

Lattice parameters (Å, degrees): 9.8533 9.8533 8.8286 104.09 104.09 25.51
Closest atoms and distances in Å follow each position.
Atoms (fractional coordinates):
Nd1 0.0178 0.0178 0.2599  1 S 2.85, 2 Te 3.12, 2 Bi 3.12
Nd2 0.3238 0.3238 0.4386  3 S 2.85-2.92
Nd3 0.3283 0.3283 0.8810  2 S 2.92, 1 Te 3.16, 1 Bi 3.20
Nd4 0.6717 0.6717 0.1190  2 S 2.92, 1 Te 3.16, 1 Bi 3.20
Nd5 0.6762 0.6762 0.5614  3 S 2.85-2.92
Nd6 0.9822 0.9822 0.7401  1 S 2.85, 2 Te 3.12, 2 Bi 3.12
Bi1 0.5000 0.5000 0.0000  6 Nd 3.12-3.20
Te1 0.1600 0.1600 0.8313  6 Nd 3.16-3.31
Te2 0.5000 0.5000 0.5000  6 Nd 3.12-3.29
Te3 0.8400 0.8400 0.1687  6 Nd 3.16-3.31
S1 0.1710 0.1710 0.3386  6 Nd 2.85-2.92
S2 0.8290 0.8290 0.6614  6 Nd 2.85-2.92

Values from the calculation:
As for the density of states at the Fermi level: 0.445 states/eV per atom. As for the space group: No. 12. As for the uncorrected formation energy: -1.53 eV per atom. The total energy is -0.2098 hartree per atom. The value obtained for the total magnetization is 0.00 μB/atom. The volume comes out at 357.5 Å³/cell.



Below is an optimized crystal structure of Nd3Tl4BiS8, with properties calculated at the GGA-PBE level.

Lattice parameters (Å, degrees): 8.9059 8.9059 8.9059 55.93 55.93 55.93
Closest atoms and distances in Å follow each position.
Atoms (fractional coordinates):
Nd1 0.0000 0.5000 0.5000  6 S 2.86
Nd2 0.5000 0.0000 0.5000  6 S 2.86
Nd3 0.5000 0.5000 0.0000  6 S 2.86
Tl1 0.0000 0.0000 0.5000  6 S 3.27
Tl2 0.0000 0.5000 0.0000  6 S 3.27
Tl3 0.5000 0.0000 0.0000  6 S 3.27
Tl4 0.5000 0.5000 0.5000  6 S 3.27
Bi1 0.0000 0.0000 0.0000  6 S 2.86
S1 0.2353 0.2353 0.7351  2 Nd 2.86, 1 Bi 2.86
S2 0.2353 0.7351 0.2353  2 Nd 2.86, 1 Bi 2.86
S3 0.2652 0.2652 0.2652  3 Nd 2.86
S4 0.2649 0.7647 0.7647  2 Nd 2.86, 1 Bi 2.86
S5 0.7351 0.2353 0.2353  2 Nd 2.86, 1 Bi 2.86
S6 0.7348 0.7348 0.7348  3 Nd 2.86
S7 0.7647 0.2649 0.7647  2 Nd 2.86, 1 Bi 2.86
S8 0.7647 0.7647 0.2649  2 Nd 2.86, 1 Bi 2.86

Values from the calculation:
As for the space group: No. 166. As for the uncorrected formation energy: -1.19 eV per atom. The total energy is -0.1832 hartree per atom. The value obtained for the total magnetization is 0.00 μB/atom. The volume comes out at 452.4 Å³/cell.